one) A geometry-optimized Tb5Ho4Th structure, computed with PBE.

Cell lengths 9.0443, 9.0443, 10.9533 Å; angles 102.40, 102.40, 22.63 degrees
With the nearest neighbours (Å) after each atom.
Fractional positions:
Tb  0.0000  0.0000  0.0000  4 Ho 3.29, 6 Tb 3.45-3.55
Tb  0.3309  0.3309  0.9806  4 Ho 3.39-3.78, 6 Tb 3.45-3.55
Tb  0.3412  0.3412  0.5788  4 Ho 3.42-3.66, 4 Tb 3.55-3.76, 2 Th 3.59
Tb  0.6588  0.6588  0.4212  4 Ho 3.42-3.66, 4 Tb 3.55-3.76, 2 Th 3.59
Tb  0.6691  0.6691  0.0194  4 Ho 3.39-3.78, 6 Tb 3.45-3.55
Ho  0.1784  0.1784  0.7188  4 Ho 3.36-3.55, 4 Tb 3.48-3.66, 1 Th 3.53
Ho  0.4750  0.4750  0.2407  4 Tb 3.29-3.42, 2 Th 3.30, 4 Ho 3.36-3.55
Ho  0.5250  0.5250  0.7593  4 Tb 3.29-3.42, 2 Th 3.30, 4 Ho 3.36-3.55
Ho  0.8216  0.8216  0.2812  4 Ho 3.36-3.55, 4 Tb 3.48-3.66, 1 Th 3.53
Th  0.0000  0.0000  0.5000  6 Ho 3.30-3.53, 2 Th 3.55, 4 Tb 3.59

Density of states at the Fermi level   14.03 states/eV per cell
Size of the total moment   0.00 μB/atom
Volume   336.44 Å³/cell

two) A geometry-optimized Tb5Ho4Th structure, computed with PBE.

Cell lengths 7.8467, 7.8467, 7.8467 Å; angles 99.46, 99.46, 132.18 degrees
With the nearest neighbours (Å) after each atom.
Fractional positions:
Tb  0.0000  0.0000  0.0000  1 Th 2.95, 4 Tb 3.24
Tb  0.0283  0.4057  0.9115  4 Ho 3.21-3.53, 1 Tb 3.24, 1 Th 3.28
Tb  0.1168  0.0283  0.6225  4 Ho 3.21-3.53, 1 Tb 3.24, 1 Th 3.28
Tb  0.4057  0.4942  0.3775  4 Ho 3.21-3.53, 1 Tb 3.24, 1 Th 3.28
Tb  0.4942  0.1168  0.0885  4 Ho 3.21-3.53, 1 Tb 3.24, 1 Th 3.28
Ho  0.1044  0.7097  0.2961  4 Tb 3.21-3.53, 1 Ho 3.29
Ho  0.4136  0.8082  0.7039  4 Tb 3.21-3.53, 1 Ho 3.29
Ho  0.7097  0.4136  0.6053  4 Tb 3.21-3.53, 1 Ho 3.29
Ho  0.8082  0.1044  0.3947  4 Tb 3.21-3.53, 1 Ho 3.29
Th  0.5357  0.5357  0.0000  5 Tb 2.95-3.28

Density of states at the Fermi level   14.24 states/eV per cell
Size of the total moment   0.00 μB/atom
Volume   327.30 Å³/cell

The structure with the most favorable energy is one); the runner-up is 0.110 eV/atom above it.

one) A geometry-optimized Tb2HoTh5 structure, computed with PBE.

Cell lengths 7.1365, 14.3086, 5.0331 Å; angles 90.00, 90.00, 90.00 degrees
With the nearest neighbours (Å) after each atom.
Fractional positions:
Tb  0.2489  0.1252  0.0000  10 Th 3.54-3.61, 2 Ho 3.56
Tb  0.2511  0.6252  0.0000  10 Th 3.54-3.61, 2 Ho 3.56
Tb  0.7489  0.3748  0.0000  10 Th 3.54-3.61, 2 Ho 3.56
Tb  0.7511  0.8748  0.0000  10 Th 3.54-3.61, 2 Ho 3.56
Ho  0.0000  0.0000  0.5000  4 Tb 3.56, 8 Th 3.57-3.60
Ho  0.5000  0.5000  0.5000  4 Tb 3.56, 8 Th 3.57-3.60
Th  0.0000  0.5000  0.5000  6 Th 3.56-3.57, 2 Ho 3.57, 4 Tb 3.57
Th  0.0017  0.7496  0.5000  7 Th 3.54-3.57, 4 Tb 3.56-3.57, 1 Ho 3.58
Th  0.2451  0.3729  0.0000  6 Th 3.54-3.57, 4 Tb 3.54-3.61, 2 Ho 3.60
Th  0.2549  0.8729  0.0000  6 Th 3.54-3.57, 4 Tb 3.54-3.61, 2 Ho 3.60
Th  0.4983  0.2496  0.5000  7 Th 3.54-3.57, 4 Tb 3.56-3.57, 1 Ho 3.58
Th  0.5000  0.0000  0.5000  6 Th 3.56-3.57, 2 Ho 3.57, 4 Tb 3.57
Th  0.5017  0.7504  0.5000  7 Th 3.54-3.57, 4 Tb 3.56-3.57, 1 Ho 3.58
Th  0.7451  0.1271  0.0000  6 Th 3.54-3.57, 4 Tb 3.54-3.61, 2 Ho 3.60
Th  0.7549  0.6271  0.0000  6 Th 3.54-3.57, 4 Tb 3.54-3.61, 2 Ho 3.60
Th  0.9983  0.2504  0.5000  7 Th 3.54-3.57, 4 Tb 3.56-3.57, 1 Ho 3.58

Density of states at the Fermi level   25.20 states/eV per cell
Size of the total moment   0.00 μB/atom
Volume   513.94 Å³/cell

two) A geometry-optimized Tb2HoTh5 structure, computed with PBE.

Cell lengths 7.3275, 7.3275, 5.5390 Å; angles 90.00, 90.00, 90.00 degrees
With the nearest neighbours (Å) after each atom.
Fractional positions:
Tb  0.0000  0.5000  0.0000  10 Th 3.66-3.81
Tb  0.5000  0.0000  0.0000  10 Th 3.66-3.81
Ho  0.0000  0.0000  0.5000  6 Th 2.77-2.97
Th  0.0000  0.0000  0.0000  2 Ho 2.77
Th  0.2863  0.2863  0.5000  1 Ho 2.97, 2 Th 3.13
Th  0.2863  0.7137  0.5000  1 Ho 2.97, 2 Th 3.13
Th  0.7137  0.2863  0.5000  1 Ho 2.97, 2 Th 3.13
Th  0.7137  0.7137  0.5000  1 Ho 2.97, 2 Th 3.13

Density of states at the Fermi level   16.43 states/eV per cell
Size of the total moment   0.00 μB/atom
Volume   297.41 Å³/cell

The structure with the most favorable energy is one); the runner-up is 0.799 eV/atom above it.

one) A geometry-optimized Tb2Ho8Th3 structure, computed with PBE.

Cell lengths 11.8995, 11.8995, 11.8995 Å; angles 152.75, 146.97, 43.33 degrees
With the nearest neighbours (Å) after each atom.
Fractional positions:
Tb  0.2238  0.2238  0.0000  11 Ho 3.28-3.62
Tb  0.7762  0.7762  0.0000  11 Ho 3.28-3.62
Ho  0.0753  0.0753  0.0000  1 Tb 3.28, 5 Ho 3.33-3.64, 4 Th 3.62
Ho  0.0890  0.3498  0.7392  4 Ho 3.24-3.53, 3 Tb 3.30-3.62, 1 Th 3.32
Ho  0.3173  0.8173  0.5000  4 Ho 3.39, 4 Tb 3.48-3.50
Ho  0.3894  0.6502  0.7392  4 Ho 3.24-3.53, 3 Tb 3.30-3.62, 1 Th 3.32
Ho  0.6106  0.3498  0.2608  4 Ho 3.24-3.53, 3 Tb 3.30-3.62, 1 Th 3.32
Ho  0.6827  0.1827  0.5000  4 Ho 3.39, 4 Tb 3.48-3.50
Ho  0.9110  0.6502  0.2608  4 Ho 3.24-3.53, 3 Tb 3.30-3.62, 1 Th 3.32
Ho  0.9247  0.9247  0.0000  1 Tb 3.28, 5 Ho 3.33-3.64, 4 Th 3.62
Th  0.2320  0.5000  0.7320  3 Th 3.14-3.34, 2 Ho 3.32
Th  0.5000  0.0000  0.5000  4 Th 3.34
Th  0.7680  0.5000  0.2680  3 Th 3.14-3.34, 2 Ho 3.32

Density of states at the Fermi level   20.69 states/eV per cell
Size of the total moment   0.00 μB/atom
Volume   419.44 Å³/cell

two) A geometry-optimized Tb2Ho8Th3 structure, computed with PBE.

Cell lengths 8.7137, 8.7137, 6.5905 Å; angles 98.13, 98.13, 63.97 degrees
With the nearest neighbours (Å) after each atom.
Fractional positions:
Tb  0.2140  0.2140  0.2945  5 Ho 3.30-3.59, 1 Th 3.42
Tb  0.7860  0.7860  0.7055  5 Ho 3.30-3.59, 1 Th 3.42
Ho  0.1962  0.1962  0.7869  2 Tb 3.30-3.31, 5 Ho 3.42-3.60, 3 Th 3.43-3.55
Ho  0.2087  0.5661  0.0644  6 Ho 3.30-3.62, 2 Th 3.37-3.46, 1 Tb 3.59
Ho  0.4182  0.4182  0.6288  3 Ho 3.18-3.41, 1 Tb 3.43, 2 Th 3.44
Ho  0.4339  0.7913  0.9356  6 Ho 3.30-3.62, 2 Th 3.37-3.46, 1 Tb 3.59
Ho  0.5661  0.2087  0.0644  6 Ho 3.30-3.62, 2 Th 3.37-3.46, 1 Tb 3.59
Ho  0.5818  0.5818  0.3712  3 Ho 3.18-3.41, 1 Tb 3.43, 2 Th 3.44
Ho  0.7913  0.4339  0.9356  6 Ho 3.30-3.62, 2 Th 3.37-3.46, 1 Tb 3.59
Ho  0.8038  0.8038  0.2131  2 Tb 3.30-3.31, 5 Ho 3.42-3.60, 3 Th 3.43-3.55
Th  0.0000  0.0000  0.0000  2 Tb 3.42, 6 Ho 3.43-3.46, 4 Th 3.65
Th  0.1692  0.8308  0.5000  1 Th 3.12, 4 Ho 3.37-3.44
Th  0.8308  0.1692  0.5000  1 Th 3.12, 4 Ho 3.37-3.44

Density of states at the Fermi level   21.08 states/eV per cell
Size of the total moment   0.00 μB/atom
Volume   443.36 Å³/cell

The structure with the most favorable energy is one); the runner-up is 0.119 eV/atom above it.

one) A geometry-optimized TbHo2Th structure, computed with PBE.

Cell lengths 3.5792, 3.5792, 34.2031 Å; angles 90.00, 90.00, 120.00 degrees
With the nearest neighbours (Å) after each atom.
Fractional positions:
Tb  0.0000  0.0000  0.0000  6 Ho 3.54-3.57, 6 Tb 3.58
Tb  0.3333  0.6667  0.6667  6 Ho 3.54-3.57, 6 Tb 3.58
Tb  0.6667  0.3333  0.3333  6 Ho 3.54-3.57, 6 Tb 3.58
Ho  0.0000  0.0000  0.5816  3 Th 3.50, 3 Tb 3.57, 6 Ho 3.58
Ho  0.0000  0.0000  0.7505  3 Th 3.48, 3 Tb 3.54, 6 Ho 3.58
Ho  0.3333  0.6667  0.2482  3 Th 3.50, 3 Tb 3.57, 6 Ho 3.58
Ho  0.3333  0.6667  0.4172  3 Th 3.48, 3 Tb 3.54, 6 Ho 3.58
Ho  0.6667  0.3333  0.0839  3 Th 3.48, 3 Tb 3.54, 6 Ho 3.58
Ho  0.6667  0.3333  0.9149  3 Th 3.50, 3 Tb 3.57, 6 Ho 3.58
Th  0.0000  0.0000  0.1658  6 Ho 3.48-3.50, 6 Th 3.58
Th  0.3333  0.6667  0.8324  6 Ho 3.48-3.50, 6 Th 3.58
Th  0.6667  0.3333  0.4991  6 Ho 3.48-3.50, 6 Th 3.58

Density of states at the Fermi level   19.53 states/eV per cell
Size of the total moment   0.00 μB/atom
Volume   379.47 Å³/cell

two) A geometry-optimized TbHo2Th structure, computed with PBE.

Cell lengths 5.0238, 5.0238, 4.9879 Å; angles 90.00, 90.00, 90.00 degrees
With the nearest neighbours (Å) after each atom.
Fractional positions:
Tb  0.0000  0.0000  0.0000  8 Ho 3.54, 4 Th 3.55
Ho  0.0000  0.5000  0.5000  4 Tb 3.54, 4 Th 3.54, 4 Ho 3.55
Ho  0.5000  0.0000  0.5000  4 Tb 3.54, 4 Th 3.54, 4 Ho 3.55
Th  0.5000  0.5000  0.0000  8 Ho 3.54, 4 Tb 3.55

Density of states at the Fermi level   5.91 states/eV per cell
Size of the total moment   0.00 μB/atom
Volume   125.89 Å³/cell

three) A geometry-optimized TbHo2Th structure, computed with PBE.

Cell lengths 7.9961, 7.9961, 7.9961 Å; angles 90.00, 90.00, 90.00 degrees
With the nearest neighbours (Å) after each atom.
Fractional positions:
Tb  0.0000  0.0000  0.0000  8 Ho 3.46
Tb  0.0000  0.5000  0.5000  8 Ho 3.46
Tb  0.5000  0.0000  0.5000  8 Ho 3.46
Tb  0.5000  0.5000  0.0000  8 Ho 3.46
Ho  0.2500  0.2500  0.2500  4 Tb 3.46, 4 Th 3.46
Ho  0.2500  0.2500  0.7500  4 Tb 3.46, 4 Th 3.46
Ho  0.2500  0.7500  0.2500  4 Tb 3.46, 4 Th 3.46
Ho  0.2500  0.7500  0.7500  4 Tb 3.46, 4 Th 3.46
Ho  0.7500  0.2500  0.2500  4 Tb 3.46, 4 Th 3.46
Ho  0.7500  0.2500  0.7500  4 Tb 3.46, 4 Th 3.46
Ho  0.7500  0.7500  0.2500  4 Tb 3.46, 4 Th 3.46
Ho  0.7500  0.7500  0.7500  4 Tb 3.46, 4 Th 3.46
Th  0.0000  0.0000  0.5000  8 Ho 3.46
Th  0.0000  0.5000  0.0000  8 Ho 3.46
Th  0.5000  0.0000  0.0000  8 Ho 3.46
Th  0.5000  0.5000  0.5000  8 Ho 3.46

Density of states at the Fermi level   33.39 states/eV per cell
Size of the total moment   0.00 μB/atom
Volume   511.25 Å³/cell

The structure with the most favorable energy is one); the runner-up is 0.032 eV/atom above it.

one) A geometry-optimized TbHo2Th structure, computed with PBE.

Cell lengths 6.2186, 5.7251, 14.4022 Å; angles 90.00, 90.00, 90.00 degrees
With the nearest neighbours (Å) after each atom.
Fractional positions:
Tb  0.0776  0.2500  0.1880  7 Ho 3.55-3.58, 3 Th 3.58-3.65, 2 Tb 3.59
Tb  0.4224  0.7500  0.6880  7 Ho 3.55-3.58, 3 Th 3.58-3.65, 2 Tb 3.59
Tb  0.5776  0.2500  0.3120  7 Ho 3.55-3.58, 3 Th 3.58-3.65, 2 Tb 3.59
Tb  0.9224  0.7500  0.8120  7 Ho 3.55-3.58, 3 Th 3.58-3.65, 2 Tb 3.59
Ho  0.0790  0.2500  0.6829  5 Ho 3.49-3.70, 3 Th 3.50-3.51, 4 Tb 3.55-3.57
Ho  0.0945  0.2500  0.9396  4 Th 3.49-3.62, 5 Ho 3.49-3.70, 3 Tb 3.57-3.58
Ho  0.4055  0.7500  0.4396  4 Th 3.49-3.62, 5 Ho 3.49-3.70, 3 Tb 3.57-3.58
Ho  0.4210  0.7500  0.1829  5 Ho 3.49-3.70, 3 Th 3.50-3.51, 4 Tb 3.55-3.57
Ho  0.5790  0.2500  0.8171  5 Ho 3.49-3.70, 3 Th 3.50-3.51, 4 Tb 3.55-3.57
Ho  0.5945  0.2500  0.5604  4 Th 3.49-3.62, 5 Ho 3.49-3.70, 3 Tb 3.57-3.58
Ho  0.9055  0.7500  0.0604  4 Th 3.49-3.62, 5 Ho 3.49-3.70, 3 Tb 3.57-3.58
Ho  0.9210  0.7500  0.3171  5 Ho 3.49-3.70, 3 Th 3.50-3.51, 4 Tb 3.55-3.57
Th  0.0839  0.2500  0.4396  7 Ho 3.49-3.62, 2 Th 3.51, 3 Tb 3.58-3.65
Th  0.4161  0.7500  0.9396  7 Ho 3.49-3.62, 2 Th 3.51, 3 Tb 3.58-3.65
Th  0.5839  0.2500  0.0604  7 Ho 3.49-3.62, 2 Th 3.51, 3 Tb 3.58-3.65
Th  0.9161  0.7500  0.5604  7 Ho 3.49-3.62, 2 Th 3.51, 3 Tb 3.58-3.65

Density of states at the Fermi level   24.52 states/eV per cell
Size of the total moment   0.00 μB/atom
Volume   512.76 Å³/cell

two) A geometry-optimized TbHo2Th structure, computed with PBE.

Cell lengths 3.5621, 3.5621, 34.4592 Å; angles 90.00, 90.00, 120.00 degrees
With the nearest neighbours (Å) after each atom.
Fractional positions:
Tb  0.0000  0.0000  0.0000  6 Tb 3.56, 6 Ho 3.57
Tb  0.3333  0.6667  0.6667  6 Tb 3.56, 6 Ho 3.57
Tb  0.6667  0.3333  0.3333  6 Tb 3.56, 6 Ho 3.57
Ho  0.0000  0.0000  0.2487  3 Th 3.50, 6 Ho 3.56, 3 Tb 3.57
Ho  0.0000  0.0000  0.7513  3 Th 3.50, 6 Ho 3.56, 3 Tb 3.57
Ho  0.3333  0.6667  0.4179  3 Th 3.50, 6 Ho 3.56, 3 Tb 3.57
Ho  0.3333  0.6667  0.9154  3 Th 3.50, 6 Ho 3.56, 3 Tb 3.57
Ho  0.6667  0.3333  0.0846  3 Th 3.50, 6 Ho 3.56, 3 Tb 3.57
Ho  0.6667  0.3333  0.5821  3 Th 3.50, 6 Ho 3.56, 3 Tb 3.57
Th  0.0000  0.0000  0.5000  6 Ho 3.50, 6 Th 3.56
Th  0.3333  0.6667  0.1667  6 Ho 3.50, 6 Th 3.56
Th  0.6667  0.3333  0.8333  6 Ho 3.50, 6 Th 3.56

Density of states at the Fermi level   16.63 states/eV per cell
Size of the total moment   0.00 μB/atom
Volume   378.67 Å³/cell

The structure with the most favorable energy is two); the runner-up is 0.016 eV/atom above it.

one) A geometry-optimized TbHo2Th structure, computed with PBE.

Cell lengths 3.5508, 3.5508, 10.0512 Å; angles 90.00, 90.00, 90.00 degrees
With the nearest neighbours (Å) after each atom.
Fractional positions:
Tb  0.0000  0.0000  0.0000  4 Tb 3.55, 8 Ho 3.59
Ho  0.5000  0.5000  0.2547  4 Th 3.52, 4 Ho 3.55, 4 Tb 3.59
Ho  0.5000  0.5000  0.7453  4 Th 3.52, 4 Ho 3.55, 4 Tb 3.59
Th  0.0000  0.0000  0.5000  8 Ho 3.52, 4 Th 3.55

Density of states at the Fermi level   5.02 states/eV per cell
Size of the total moment   0.00 μB/atom
Volume   126.73 Å³/cell

two) A geometry-optimized TbHo2Th structure, computed with PBE.

Cell lengths 3.5392, 6.7553, 11.0428 Å; angles 90.58, 90.01, 105.08 degrees
With the nearest neighbours (Å) after each atom.
Fractional positions:
Tb  0.1306  0.2609  0.4846  7 Ho 3.37-3.71, 5 Tb 3.42-3.60
Tb  0.8694  0.7391  0.5154  7 Ho 3.37-3.71, 5 Tb 3.42-3.60
Ho  0.2539  0.5085  0.7539  3 Th 3.34-3.45, 3 Tb 3.37-3.53, 5 Ho 3.47-3.54
Ho  0.4792  0.9594  0.2518  5 Ho 3.47-3.54, 4 Tb 3.67-3.71, 4 Th 3.70-3.71
Ho  0.5208  0.0406  0.7482  5 Ho 3.47-3.54, 4 Tb 3.67-3.71, 4 Th 3.70-3.71
Ho  0.7461  0.4915  0.2461  3 Th 3.34-3.45, 3 Tb 3.37-3.53, 5 Ho 3.47-3.54
Th  0.1287  0.2555  0.0157  7 Ho 3.34-3.71, 5 Th 3.35-3.67
Th  0.8713  0.7445  0.9843  7 Ho 3.34-3.71, 5 Th 3.35-3.67

Density of states at the Fermi level   12.38 states/eV per cell
Size of the total moment   0.00 μB/atom
Volume   254.91 Å³/cell

The structure with the most favorable energy is one); the runner-up is 0.011 eV/atom above it.